Entry 1:
FeSb2CI: optimized geometry, PBEsol.

Lattice parameters (Å, degrees): 4.720 4.720 5.374 90.00 90.00 90.00
Space group P4/mmm (No. 123)
Symmetry-distinct sites (fractional):
1 Fe 0.000 0.000 0.000 [1 per cell]
2 Sb 0.000 0.500 0.000 [2 per cell]
3 C 0.500 0.500 0.500 [1 per cell]
4 I 0.000 0.000 0.500 [1 per cell]

## Properties
ΔE_f (raw) = 1659 meV per atom



Entry 2:
KCa4Cl: optimized geometry, PBEsol.

Lattice parameters (Å, degrees): 10.333 10.333 10.333 90.00 90.00 90.00
Space group F-43m (No. 216)
Symmetry-distinct sites (fractional):
1 K 0.000 0.000 0.000 [4 per cell]
2 Ca 0.126 0.126 0.374 [16 per cell]
3 Cl 0.250 0.250 0.750 [4 per cell]

## Properties
ΔE_f (raw) = 44 meV per atom



Entry 3:
Sc3Cd5: optimized geometry, PBEsol.

Lattice parameters (Å, degrees): 7.098 9.742 4.795 90.00 90.00 90.00
Space group Cmmm (No. 65)
Symmetry-distinct sites (fractional):
1 Sc 0.000 0.000 0.000 [2 per cell]
2 Sc 0.000 0.262 0.500 [4 per cell]
3 Cd 0.000 0.500 0.000 [2 per cell]
4 Cd 0.241 0.000 0.500 [4 per cell]
5 Cd 0.250 0.250 0.000 [4 per cell]

## Properties
formation enthalpy at 0 K = -2.28 eV per formula unit



Entry 4:
TcMo2P: optimized geometry, PBEsol.

Lattice parameters (Å, degrees): 2.868 3.997 4.897 90.00 90.00 90.00
Space group Pmmm (No. 47)
Symmetry-distinct sites (fractional):
1 Tc 0.000 0.000 0.000 [1 per cell]
2 Mo 0.500 0.500 0.258 [2 per cell]
3 P 0.000 0.000 0.500 [1 per cell]

## Properties
formation enthalpy at 0 K = -0.52 eV per formula unit



Entry 5:
Ga2ReI: optimized geometry, PBEsol.

Lattice parameters (Å, degrees): 6.581 6.581 6.581 90.00 90.00 90.00
Space group Fm-3m (No. 225)
Symmetry-distinct sites (fractional):
1 Ga 0.250 0.250 0.250 [8 per cell]
2 Re 0.000 0.000 0.000 [4 per cell]
3 I 0.000 0.000 0.500 [4 per cell]

## Properties
ΔE_f (raw) = 1058 meV per atom



Entry 6:
MoIr2: optimized geometry, PBEsol.

Lattice parameters (Å, degrees): 2.7231 2.7231 6.7259 90.00 90.00 120.00
Space group P-3m1 (No. 164)
Symmetry-distinct sites (fractional):
1 Mo 0.0000 0.0000 0.0000 [1 per cell]
2 Ir 0.3333 0.6667 0.6736 [2 per cell]

## Properties
formation enthalpy at 0 K = -0.47 eV per formula unit



Entry 7:
Mg2ScBi: optimized geometry, PBEsol.

Lattice parameters (Å, degrees): 8.498 8.498 5.817 90.00 90.00 90.00
Space group I-42d (No. 122)
Symmetry-distinct sites (fractional):
1 Mg 0.224 0.750 0.125 [8 per cell]
2 Sc 0.000 0.000 0.500 [4 per cell]
3 Bi 0.000 0.000 0.000 [4 per cell]

## Properties
formation enthalpy at 0 K = -0.02 eV per formula unit



Entry 8:
CdCu3: optimized geometry, PBEsol.

Lattice parameters (Å, degrees): 3.762 3.762 3.762 90.00 90.00 90.00
Space group Pm-3m (No. 221)
Symmetry-distinct sites (fractional):
1 Cd 0.000 0.000 0.000 [1 per cell]
2 Cu 0.000 0.500 0.500 [3 per cell]

## Properties
formation enthalpy at 0 K = 0.29 eV per formula unit



Entry 9:
MnTeAu2: optimized geometry, PBEsol.

Lattice parameters (Å, degrees): 3.508 3.508 6.005 90.00 90.00 90.00
Space group P4mm (No. 99)
Symmetry-distinct sites (fractional):
1 Mn 0.000 0.000 0.000 [1 per cell]
2 Te 0.500 0.500 0.227 [1 per cell]
3 Au 0.000 0.000 0.544 [1 per cell]
4 Au 0.500 0.500 0.762 [1 per cell]

## Properties
ΔE_f (raw) = 154 meV per atom



Entry 10:
BeSe2IN: optimized geometry, PBEsol.

Lattice parameters (Å, degrees): 5.351 5.351 3.888 90.00 90.00 90.00
Space group P4/mmm (No. 123)
Symmetry-distinct sites (fractional):
1 Be 0.000 0.000 0.000 [1 per cell]
2 Se 0.000 0.500 0.500 [2 per cell]
3 I 0.500 0.500 0.500 [1 per cell]
4 N 0.500 0.500 0.000 [1 per cell]

## Properties
ΔE_f (raw) = 1536 meV per atom



Entry 11:
LaAl2P: optimized geometry, PBEsol.

Lattice parameters (Å, degrees): 3.6607 3.6607 23.4019 90.00 90.00 120.00
Space group R3m (No. 160, hexagonal axes)
Symmetry-distinct sites (fractional):
1 La 0.0000 0.0000 0.0000 [3 per cell]
2 Al 0.0000 0.0000 0.2227 [3 per cell]
3 Al 0.0000 0.0000 0.4692 [3 per cell]
4 P 0.0000 0.0000 0.7532 [3 per cell]

## Properties
formation enthalpy at 0 K = -1.09 eV per formula unit



Entry 12:
PtI3Br: optimized geometry, PBEsol.

Lattice parameters (Å, degrees): 5.372 5.372 5.372 90.00 90.00 90.00
Space group Pm-3m (No. 221)
Symmetry-distinct sites (fractional):
1 Pt 0.000 0.000 0.000 [1 per cell]
2 I 0.000 0.000 0.500 [3 per cell]
3 Br 0.500 0.500 0.500 [1 per cell]

## Properties
ΔE_f (raw) = 218 meV per atom



Question: What is the formula in the twelfth record?
Answer: PtI3Br